## i
! KSiIO2, relaxed, DFT PBE; values from VASP
! Density of states at the Fermi level (states/eV/f.u.): 3.57
! Space group: P4/mmm
! Total moment (μB/f.u.): 1.99
&SYSTEM
  ibrav = 0, nat = 5, ntyp = 4
/
ATOMIC_SPECIES
I 126.90 I.upf
K 39.10 K.upf
Si 28.09 Si.upf
O 16.00 O.upf
CELL_PARAMETERS angstrom
4.6533 0.0000 0.0000
0.0000 4.6533 0.0000
0.0000 0.0000 6.5479
ATOMIC_POSITIONS angstrom
I 0.0000 0.0000 3.2739
K 0.0000 0.0000 0.0000
Si 2.3266 2.3266 3.2739
O 2.3266 0.0000 0.0000
O 0.0000 2.3266 0.0000

---

## ii
! KSiIO2, relaxed, DFT PBE; values from VASP
! Density of states at the Fermi level (states/eV/f.u.): 1.16
! Space group: P4/mmm
! Total moment (μB/f.u.): 0.00
&SYSTEM
  ibrav = 0, nat = 5, ntyp = 4
/
ATOMIC_SPECIES
O 16.00 O.upf
I 126.90 I.upf
K 39.10 K.upf
Si 28.09 Si.upf
CELL_PARAMETERS angstrom
-3.2444 0.6805 2.2233
1.7273 -1.8496 3.0867
2.1469 4.7876 1.6675
ATOMIC_POSITIONS angstrom
O -1.6222 0.3402 1.1117
O 0.8637 -0.9248 1.5433
I 1.0734 2.3938 0.8337
K 0.3149 1.8092 3.4887
Si 0.0000 0.0000 0.0000

---

Most stable one: ii, least stable one: i.

---

## i
! KSnIO2, relaxed, DFT PBE; values from VASP
! Density of states at the Fermi level (states/eV/f.u.): 5.32
! Space group: P4/mmm
! Total moment (μB/f.u.): 0.70
&SYSTEM
  ibrav = 0, nat = 5, ntyp = 4
/
ATOMIC_SPECIES
K 39.10 K.upf
Sn 118.71 Sn.upf
O 16.00 O.upf
I 126.90 I.upf
CELL_PARAMETERS angstrom
4.7999 0.0000 0.0000
0.0000 4.7999 0.0000
0.0000 0.0000 6.2829
ATOMIC_POSITIONS angstrom
K 0.0000 0.0000 0.0000
Sn 2.3999 2.3999 3.1414
O 2.3999 0.0000 0.0000
O 0.0000 2.3999 0.0000
I 0.0000 0.0000 3.1414

---

## ii
! KSnIO2, relaxed, DFT PBE; values from VASP
! Density of states at the Fermi level (states/eV/f.u.): 1.76
! Space group: P4/mmm
! Total moment (μB/f.u.): 0.00
&SYSTEM
  ibrav = 0, nat = 5, ntyp = 4
/
ATOMIC_SPECIES
O 16.00 O.upf
K 39.10 K.upf
Sn 118.71 Sn.upf
I 126.90 I.upf
CELL_PARAMETERS angstrom
-2.6184 -2.4608 2.3423
1.4610 -3.4854 -2.0286
4.3629 -0.6267 4.2188
ATOMIC_POSITIONS angstrom
O 0.7305 -1.7427 -1.0143
O -1.3092 -1.2304 1.1711
K 1.6028 -3.2865 2.2662
Sn 0.0000 0.0000 0.0000
I 2.1815 -0.3134 2.1094

---

Most stable one: ii, least stable one: i.

---

## i
! KSrIO2, relaxed, DFT PBE; values from VASP
! Density of states at the Fermi level (states/eV/f.u.): 10.53
! Space group: P4/mmm
! Total moment (μB/f.u.): 0.86
&SYSTEM
  ibrav = 0, nat = 5, ntyp = 4
/
ATOMIC_SPECIES
K 39.10 K.upf
O 16.00 O.upf
I 126.90 I.upf
Sr 87.62 Sr.upf
CELL_PARAMETERS angstrom
4.8899 0.0000 0.0000
0.0000 4.8899 0.0000
0.0000 0.0000 6.7112
ATOMIC_POSITIONS angstrom
K 2.4449 2.4449 3.3556
O 0.0000 2.4449 0.0000
O 2.4449 0.0000 0.0000
I 0.0000 0.0000 3.3556
Sr 0.0000 0.0000 0.0000

---

## ii
! KSrIO2, relaxed, DFT PBE; values from VASP
! Density of states at the Fermi level (states/eV/f.u.): 10.89
! Space group: P4/mmm
! Total moment (μB/f.u.): 0.04
&SYSTEM
  ibrav = 0, nat = 5, ntyp = 4
/
ATOMIC_SPECIES
O 16.00 O.upf
Sr 87.62 Sr.upf
I 126.90 I.upf
K 39.10 K.upf
CELL_PARAMETERS angstrom
-2.9603 -1.6735 3.3953
-1.7470 -3.2198 -3.1101
4.2668 -4.0028 1.7471
ATOMIC_POSITIONS angstrom
O -1.4801 -0.8368 1.6977
O -0.8735 -1.6099 -1.5551
Sr -0.2202 -4.4480 1.0162
I 2.1334 -2.0014 0.8736
K 0.0000 0.0000 0.0000

---

Most stable one: i, least stable one: ii.

---

## i
! KTaIO2, relaxed, DFT PBE; values from VASP
! Density of states at the Fermi level (states/eV/f.u.): 1.90
! Space group: P4/mmm
! Total moment (μB/f.u.): 0.28
&SYSTEM
  ibrav = 0, nat = 5, ntyp = 4
/
ATOMIC_SPECIES
O 16.00 O.upf
K 39.10 K.upf
I 126.90 I.upf
Ta 180.95 Ta.upf
CELL_PARAMETERS angstrom
-1.4378 -2.8977 -2.6032
1.6339 -2.9676 2.4009
-5.0376 -0.2750 3.0883
ATOMIC_POSITIONS angstrom
O 0.8169 -1.4838 1.2005
O -0.7189 -1.4489 -1.3016
K -2.4207 -3.0701 1.4430
I -2.5188 -0.1375 1.5442
Ta 0.0000 0.0000 0.0000

---

## ii
! KTaIO2, relaxed, DFT PBE; values from VASP
! Density of states at the Fermi level (states/eV/f.u.): 11.17
! Space group: P4/mmm
! Total moment (μB/f.u.): 0.00
&SYSTEM
  ibrav = 0, nat = 5, ntyp = 4
/
ATOMIC_SPECIES
Ta 180.95 Ta.upf
K 39.10 K.upf
I 126.90 I.upf
O 16.00 O.upf
CELL_PARAMETERS angstrom
-3.7854 -1.4552 -1.6569
2.1239 -3.2913 -1.9616
-0.7731 -3.2556 4.6254
ATOMIC_POSITIONS angstrom
Ta -1.2172 -4.0011 0.5034
K 0.0000 0.0000 0.0000
I -0.3865 -1.6278 2.3127
O -1.8927 -0.7276 -0.8285
O 1.0620 -1.6457 -0.9808

---

Most stable one: i, least stable one: ii.

---

## i
! KTcIO2, relaxed, DFT PBE; values from VASP
! Density of states at the Fermi level (states/eV/f.u.): 3.79
! Space group: P4/mmm
! Total moment (μB/f.u.): 7.07
&SYSTEM
  ibrav = 0, nat = 5, ntyp = 4
/
ATOMIC_SPECIES
O 16.00 O.upf
I 126.90 I.upf
K 39.10 K.upf
Tc 98.00 Tc.upf
CELL_PARAMETERS angstrom
4.5904 0.0000 0.0000
0.0000 4.5904 0.0000
0.0000 0.0000 6.4036
ATOMIC_POSITIONS angstrom
O 2.2952 0.0000 0.0000
O 0.0000 2.2952 0.0000
I 0.0000 0.0000 3.2018
K 0.0000 0.0000 0.0000
Tc 2.2952 2.2952 3.2018

---

## ii
! KTcIO2, relaxed, DFT PBE; values from VASP
! Density of states at the Fermi level (states/eV/f.u.): 2.53
! Space group: P4/mmm
! Total moment (μB/f.u.): 0.48
&SYSTEM
  ibrav = 0, nat = 5, ntyp = 4
/
ATOMIC_SPECIES
O 16.00 O.upf
K 39.10 K.upf
I 126.90 I.upf
Tc 98.00 Tc.upf
CELL_PARAMETERS angstrom
-3.3746 1.7310 -1.5422
1.4691 -0.5104 -3.7874
-2.5044 -5.1317 -0.2799
ATOMIC_POSITIONS angstrom
O 0.7345 -0.2552 -1.8937
O -1.6873 0.8655 -0.7711
K -2.2050 -1.9555 -2.8048
I -1.2522 -2.5659 -0.1400
Tc 0.0000 0.0000 0.0000

---

Most stable one: ii, least stable one: i.

---

## i
! KTe2IO, relaxed, DFT PBE; values from VASP
! Density of states at the Fermi level (states/eV/f.u.): 4.43
! Space group: P4/mmm
! Total moment (μB/f.u.): 0.00
&SYSTEM
  ibrav = 0, nat = 5, ntyp = 4
/
ATOMIC_SPECIES
O 16.00 O.upf
Te 127.60 Te.upf
K 39.10 K.upf
I 126.90 I.upf
CELL_PARAMETERS angstrom
4.6047 0.0000 0.0000
0.0000 4.6047 0.0000
0.0000 0.0000 8.1469
ATOMIC_POSITIONS angstrom
O 0.0000 0.0000 0.0000
Te 2.3024 0.0000 0.0000
Te 0.0000 2.3024 0.0000
K 2.3024 2.3024 4.0734
I 0.0000 0.0000 4.0734

---

## ii
! KTe2IO, relaxed, DFT PBE; values from VASP
! Density of states at the Fermi level (states/eV/f.u.): 6.33
! Space group: P4/mmm
! Total moment (μB/f.u.): 6.01
&SYSTEM
  ibrav = 0, nat = 5, ntyp = 4
/
ATOMIC_SPECIES
Te 127.60 Te.upf
O 16.00 O.upf
I 126.90 I.upf
K 39.10 K.upf
CELL_PARAMETERS angstrom
-6.0247 0.0859 3.3264
-1.9752 -5.6292 -3.4322
2.5608 -3.7860 4.7358
ATOMIC_POSITIONS angstrom
Te -3.0123 0.0429 1.6632
Te -0.9876 -2.8146 -1.7161
O -2.7196 -4.6647 2.3150
I 1.2804 -1.8930 2.3679
K 0.0000 0.0000 0.0000

---

Most stable one: i, least stable one: ii.

---

## i
! KTiI2O, relaxed, DFT PBE; values from VASP
! Density of states at the Fermi level (states/eV/f.u.): 0.31
! Space group: P4/mmm
! Total moment (μB/f.u.): 1.00
&SYSTEM
  ibrav = 0, nat = 5, ntyp = 4
/
ATOMIC_SPECIES
I 126.90 I.upf
Ti 47.87 Ti.upf
O 16.00 O.upf
K 39.10 K.upf
CELL_PARAMETERS angstrom
5.9896 0.0000 0.0000
0.0000 5.9896 0.0000
0.0000 0.0000 3.8374
ATOMIC_POSITIONS angstrom
I 2.9948 0.0000 0.0000
I 0.0000 2.9948 0.0000
Ti 0.0000 0.0000 0.0000
O 0.0000 0.0000 1.9187
K 2.9948 2.9948 1.9187

---

## ii
! KTiI2O, relaxed, DFT PBE; values from VASP
! Density of states at the Fermi level (states/eV/f.u.): 7.39
! Space group: P4/mmm
! Total moment (μB/f.u.): 2.17
&SYSTEM
  ibrav = 0, nat = 5, ntyp = 4
/
ATOMIC_SPECIES
Ti 47.87 Ti.upf
K 39.10 K.upf
I 126.90 I.upf
O 16.00 O.upf
CELL_PARAMETERS angstrom
6.1652 0.0000 0.0000
0.0000 6.1652 0.0000
0.0000 0.0000 4.3067
ATOMIC_POSITIONS angstrom
Ti 3.0826 3.0826 2.1533
K 0.0000 0.0000 0.0000
I 0.0000 3.0826 0.0000
I 3.0826 0.0000 0.0000
O 0.0000 0.0000 2.1533

---

Most stable one: i, least stable one: ii.